VASP calculation (GGA+U) on a relaxed CdNiIrO6 crystal.

Lattice parameters (Å, degrees): 5.1971 5.1971 9.3993 90.00 90.00 120.00
Space group P-31c (No. 163)
Symmetry-distinct sites (fractional):
Cd  0.0000  0.0000  0.0000 (multiplicity 2)
Ni  0.3333  0.6667  0.2500 (multiplicity 2)
Ir  0.3333  0.6667  0.7500 (multiplicity 2)
O  0.0160  0.3759  0.6377 (multiplicity 12)

Computed properties:
**Final energy**: -96.05 eV for the cell shown
**Crystal system**: trigonal


VASP calculation (GGA+U) on a relaxed Cd2NiIrO6 crystal.

Lattice parameters (Å, degrees): 5.436 5.510 9.499 90.00 124.88 90.00
Space group P2_1/c (No. 14)
Symmetry-distinct sites (fractional):
Cd  0.239  0.047  0.248 (multiplicity 4)
Ni  0.000  0.000  0.500 (multiplicity 2)
Ir  0.500  0.000  0.000 (multiplicity 2)
O  0.154  0.190  0.949 (multiplicity 4)
O  0.256  0.707  0.941 (multiplicity 4)
O  0.363  0.043  0.760 (multiplicity 4)

Computed properties:
**Final energy**: -102.86 eV for the cell shown
**Crystal system**: monoclinic


VASP calculation (GGA+U) on a relaxed Cd2Ni2IrO6 crystal.

Lattice parameters (Å, degrees): 5.406 9.139 5.735 90.00 108.82 90.00
Space group C2/m (No. 12)
Symmetry-distinct sites (fractional):
Cd  0.000  0.172  0.000 (multiplicity 4)
Ni  0.000  0.338  0.500 (multiplicity 4)
Ir  0.000  0.000  0.500 (multiplicity 2)
O  0.217  0.166  0.704 (multiplicity 8)
O  0.246  0.000  0.294 (multiplicity 4)

Computed properties:
**Final energy**: -110.19 eV for the cell shown
**Crystal system**: monoclinic